The following is a GGA-PBE calculation of ReTcPb after structural relaxation, from the Alexandria database.

abc: 6.4092 6.4090 3.0169
angles: 76.39 76.38 27.23
Last column: nearest neighbours and their distance in Å.
Atoms (fractional coordinates):
1 Re 0.3107 0.3107 0.6893  4 Tc 2.59
2 Tc 0.6891 0.6891 0.3109  4 Re 2.59
3 Pb 0.0002 0.0002 0.9998  4 Pb 3.02, 4 Tc 3.12-3.13, 4 Re 3.13

## Properties
The density of states at the Fermi level comes out at 2.0 states/eV/cell. The total energy comes out at -24.99 eV per formula unit. The volume is 18.3 Å³/atom. The value obtained for the total magnetization is 0.00 μB/cell. Its formation energy from the elements is 511.9 meV per atom.



The following is a GGA-PBE calculation of NdHg2Au after structural relaxation, from the Alexandria database.

abc: 4.9858 4.4607 4.4607
angles: 90.00 90.00 90.00
Last column: nearest neighbours and their distance in Å.
Atoms (fractional coordinates):
1 Au 0.5000 0.0000 0.0000  4 Nd 3.15, 8 Hg 3.34
2 Hg 0.0000 0.5000 0.0000  4 Hg 3.15, 4 Nd 3.34, 4 Au 3.34
3 Hg 0.0000 0.0000 0.5000  4 Hg 3.15, 4 Nd 3.34, 4 Au 3.34
4 Nd 0.5000 0.5000 0.5000  4 Au 3.15, 8 Hg 3.34

## Properties
The density of states at the Fermi level comes out at 3.4 states/eV/cell. The total energy comes out at -10.27 eV per formula unit. The volume is 24.8 Å³/atom. The value obtained for the total magnetization is 0.00 μB/cell. Its formation energy from the elements is -406.5 meV per atom.



The following is a GGA-PBE calculation of Sm8Ir2Pd after structural relaxation, from the Alexandria database.

abc: 6.2378 7.6081 7.6081
angles: 111.85 99.95 99.95
Last column: nearest neighbours and their distance in Å.
Atoms (fractional coordinates):
1 Sm 0.9833 0.2170 0.7820  1 Pd 2.94
2 Sm 0.9833 0.7820 0.2170  1 Pd 2.94
3 Sm 0.5918 0.3437 0.0789  2 Ir 2.84-2.85
4 Sm 0.5918 0.0789 0.3437  2 Ir 2.84-2.85
5 Sm 0.7924 0.6416 0.6416  2 Ir 3.02, 1 Pd 3.26
6 Sm 0.3706 0.6591 0.9262  2 Ir 2.85-2.86, 1 Pd 3.08
7 Sm 0.1793 0.3682 0.3682  1 Pd 3.02, 2 Ir 3.04
8 Sm 0.3706 0.9262 0.6591  2 Ir 2.85-2.86, 1 Pd 3.08
9 Ir 0.4889 0.3176 0.6906  6 Sm 2.84-3.04
10 Ir 0.4889 0.6906 0.3176  6 Sm 2.84-3.04
11 Pd 0.1585 0.0091 0.0091  8 Sm 2.94-3.26

## Properties
The density of states at the Fermi level comes out at 11.3 states/eV/cell. The total energy comes out at -64.92 eV per formula unit. The volume is 29.0 Å³/atom. The value obtained for the total magnetization is 0.00 μB/cell. Its formation energy from the elements is -386.3 meV per atom.



The following is a GGA-PBE calculation of Li8Mg5Cd after structural relaxation, from the Alexandria database.

abc: 7.2694 7.2694 7.2694
angles: 109.09 110.23 109.09
Last column: nearest neighbours and their distance in Å.
Atoms (fractional coordinates):
1 Li 0.9702 0.0922 0.6500  1 Cd 2.66, 5 Mg 2.83-2.96
2 Li 0.1220 0.6798 0.0298  1 Cd 2.66, 5 Mg 2.83-2.96
3 Li 0.0910 0.7165 0.4893  3 Li 2.85-3.13, 4 Mg 2.97-3.15, 1 Cd 3.01
4 Li 0.5107 0.6017 0.2272  3 Li 2.85-3.13, 4 Mg 2.97-3.15, 1 Cd 3.01
5 Li 0.7728 0.2835 0.3745  3 Li 2.85-3.13, 4 Mg 2.97-3.15, 1 Cd 3.01
6 Li 0.5578 0.9078 0.8780  1 Cd 2.66, 5 Mg 2.83-2.96
7 Li 0.6255 0.3983 0.9090  3 Li 2.85-3.13, 4 Mg 2.97-3.15, 1 Cd 3.01
8 Li 0.3500 0.3202 0.4422  1 Cd 2.66, 5 Mg 2.83-2.96
9 Mg 0.9216 0.9138 0.2159  7 Li 2.83-3.15
10 Mg 0.7841 0.7058 0.6979  7 Li 2.83-3.15
11 Mg 0.3021 0.0862 0.0079  7 Li 2.83-3.15
12 Mg 0.5000 0.0000 0.5000  8 Li 2.96-2.97
13 Mg 0.9921 0.2942 0.0784  7 Li 2.83-3.15
14 Cd 0.2500 0.5000 0.7500  4 Li 2.66

## Properties
The density of states at the Fermi level comes out at 4.5 states/eV/cell. The total energy comes out at -23.86 eV per formula unit. The volume is 21.1 Å³/atom. The value obtained for the total magnetization is 0.00 μB/cell. Its formation energy from the elements is 24.2 meV per atom.



The following is a GGA-PBE calculation of PrThTe6 after structural relaxation, from the Alexandria database.

abc: 4.4611 4.4622 13.6824
angles: 90.00 99.38 90.00
Last column: nearest neighbours and their distance in Å.
Atoms (fractional coordinates):
1 Te 0.9217 0.5000 0.8434  4 Te 3.15, 2 Pr 3.33
2 Te 0.4216 0.0000 0.8433  4 Te 3.15, 2 Pr 3.33
3 Te 0.5802 0.5000 0.1603  4 Te 3.15, 2 Th 3.29
4 Te 0.7053 0.0000 0.4107  4 Th 3.30, 1 Pr 3.37
5 Te 0.0802 0.0000 0.1603  4 Te 3.15, 2 Th 3.29
6 Te 0.2909 0.5000 0.5818  1 Th 3.27, 4 Pr 3.33
7 Pr 0.8303 0.0000 0.6606  9 Te 3.33-3.37
8 Th 0.1698 0.5000 0.3396  9 Te 3.27-3.30

## Properties
The density of states at the Fermi level comes out at 2.5 states/eV/cell. The value obtained for the formation energy from raw total energies is -0.99 eV/atom. The total energy comes out at -38.96 eV per formula unit. The volume is 33.6 Å³/atom. The value obtained for the total magnetization is 0.00 μB/cell.



The following is a GGA-PBE calculation of Ac2Nd2CoAg2 after structural relaxation, from the Alexandria database.

abc: 4.2995 7.0966 8.0951
angles: 65.82 74.55 89.96
Last column: nearest neighbours and their distance in Å.
Atoms (fractional coordinates):
1 Ag 0.8831 0.3978 0.2337  4 Nd 3.23-3.25, 1 Ag 3.30, 3 Ac 3.34-3.61
2 Ag 0.1169 0.6022 0.7663  4 Nd 3.23-3.25, 1 Ag 3.30, 3 Ac 3.34-3.61
3 Nd 0.4949 0.2448 0.0110  2 Co 2.79
4 Nd 0.5051 0.7552 0.9890  2 Co 2.79
5 Co 0.0000 0.0000 0.0000  4 Nd 2.79, 2 Ac 2.86
6 Ac 0.2023 0.2029 0.5953  1 Co 2.86
7 Ac 0.7977 0.7971 0.4047  1 Co 2.86

## Properties
The density of states at the Fermi level comes out at 5.7 states/eV/cell. The total energy comes out at -31.42 eV per formula unit. The volume is 30.8 Å³/atom. The value obtained for the total magnetization is 0.00 μB/cell. Its formation energy from the elements is -123.0 meV per atom.



The following is a GGA-PBE calculation of TbNd2YSe5 after structural relaxation, from the Alexandria database.

abc: 5.1761 5.1761 10.7606
angles: 90.00 90.00 90.00
Last column: nearest neighbours and their distance in Å.
Atoms (fractional coordinates):
1 Se 0.0000 0.0000 0.2448  1 Y 2.63, 1 Tb 2.75
2 Se 0.5000 0.5000 0.0000  2 Nd 3.49, 4 Y 3.66
3 Se 0.0000 0.5000 0.5000  2 Tb 2.59
4 Se 0.0000 0.0000 0.7552  1 Y 2.63, 1 Tb 2.75
5 Se 0.5000 0.0000 0.5000  2 Tb 2.59
6 Y 0.0000 0.0000 0.0000  2 Se 2.63
7 Nd 0.5000 0.5000 0.3247  5 Se 3.20-3.49
8 Nd 0.5000 0.5000 0.6753  5 Se 3.20-3.49
9 Tb 0.0000 0.0000 0.5000  6 Se 2.59-2.75

## Properties
The density of states at the Fermi level comes out at 6.2 states/eV/cell. The value obtained for the formation energy from raw total energies is -1.25 eV/atom. The total energy comes out at -49.30 eV per formula unit. The volume is 32.0 Å³/atom. The value obtained for the total magnetization is 0.00 μB/cell.



The following is a GGA-PBE calculation of LiLa2NiSb after structural relaxation, from the Alexandria database.

abc: 5.3185 5.3185 4.7139
angles: 90.00 90.00 90.00
Last column: nearest neighbours and their distance in Å.
Atoms (fractional coordinates):
1 Ni 0.0000 0.0000 0.0000  2 Li 2.36
2 Li 0.0000 0.0000 0.5000  2 Ni 2.36
3 La 0.5000 0.0000 0.0000  2 Ni 2.66
4 La 0.0000 0.5000 0.0000  2 Ni 2.66
5 Sb 0.5000 0.5000 0.5000  8 La 3.55, 4 Li 3.76

## Properties
The density of states at the Fermi level comes out at 3.7 states/eV/cell. The value obtained for the formation energy from raw total energies is -0.50 eV/atom. The total energy comes out at -24.19 eV per formula unit. The volume is 26.7 Å³/atom. The value obtained for the total magnetization is 0.00 μB/cell.



The following is a GGA-PBE calculation of KBiIO6 after structural relaxation, from the Alexandria database.

abc: 5.6667 5.6668 5.8971
angles: 90.00 90.00 60.00
Last column: nearest neighbours and their distance in Å.
Atoms (fractional coordinates):
1 O 0.3614 0.5938 0.3088  1 I 1.93
2 O 0.3614 0.0448 0.6912  1 I 1.93
3 O 0.5938 0.0447 0.3088  1 I 1.93
4 O 0.0447 0.5939 0.6912  1 I 1.93
5 O 0.5938 0.3614 0.6912  1 I 1.93
6 O 0.0448 0.3614 0.3088  1 I 1.93
7 K 0.0000 0.0000 0.0000  6 O 2.84-2.85
8 I 0.3333 0.3334 0.5000  6 O 1.93
9 Bi 0.6666 0.6667 0.5000  6 O 2.27

## Properties
The density of states at the Fermi level comes out at 3.7 states/eV/cell. The value obtained for the formation energy from raw total energies is -0.79 eV/atom. The total energy comes out at -43.43 eV per formula unit. The volume is 18.2 Å³/atom. The value obtained for the total magnetization is 0.00 μB/cell.



The following is a GGA-PBE calculation of Tb2PrAu after structural relaxation, from the Alexandria database.

abc: 3.8105 3.8105 10.1413
angles: 79.17 79.17 60.00
Last column: nearest neighbours and their distance in Å.
Atoms (fractional coordinates):
1 Pr 0.5011 0.5011 0.4968  6 Tb 3.66-3.72, 6 Pr 3.81
2 Tb 0.0669 0.0669 0.7994  3 Au 2.98
3 Tb 0.2662 0.2662 0.2014  3 Au 2.95
4 Au 0.6659 0.6659 0.0024  6 Tb 2.95-2.98

## Properties
The density of states at the Fermi level comes out at 4.9 states/eV/cell. The total energy comes out at -18.47 eV per formula unit. The volume is 31.1 Å³/atom. The value obtained for the total magnetization is 0.00 μB/cell. Its formation energy from the elements is -287.2 meV per atom.



The following is a GGA-PBE calculation of PuCo4P4 after structural relaxation, from the Alexandria database.

abc: 5.6632 5.6632 7.3179
angles: 90.00 90.00 90.00
Last column: nearest neighbours and their distance in Å.
Atoms (fractional coordinates):
1 Pu 0.0000 0.0000 0.0000  4 P 2.82
2 Pu 0.5000 0.5000 0.5000  4 P 2.82
3 P 0.0000 0.2840 0.6830  5 Co 2.19-2.30, 1 P 2.45
4 P 0.5000 0.7840 0.8170  5 Co 2.19-2.30, 1 P 2.45
5 P 0.7160 0.0000 0.3170  5 Co 2.19-2.30, 1 P 2.45
6 P 0.2840 0.0000 0.3170  5 Co 2.19-2.30, 1 P 2.45
7 P 0.0000 0.7160 0.6830  5 Co 2.19-2.30, 1 P 2.45
8 P 0.7840 0.5000 0.1830  5 Co 2.19-2.30, 1 P 2.45
9 P 0.2160 0.5000 0.1830  5 Co 2.19-2.30, 1 P 2.45
10 P 0.5000 0.2160 0.8170  5 Co 2.19-2.30, 1 P 2.45
11 Co 0.7752 0.5000 0.8833  5 P 2.19-2.30
12 Co 0.5000 0.2248 0.1167  5 P 2.19-2.30
13 Co 0.0000 0.2752 0.3833  5 P 2.19-2.30
14 Co 0.0000 0.7248 0.3833  5 P 2.19-2.30
15 Co 0.7248 0.0000 0.6167  5 P 2.19-2.30
16 Co 0.2752 0.0000 0.6167  5 P 2.19-2.30
17 Co 0.2248 0.5000 0.8833  5 P 2.19-2.30
18 Co 0.5000 0.7752 0.1167  5 P 2.19-2.30

## Properties
The density of states at the Fermi level comes out at 38.1 states/eV/cell. The total energy comes out at -69.39 eV per formula unit. The volume is 13.0 Å³/atom. The value obtained for the total magnetization is 12.70 μB/cell. Its formation energy from the elements is -554.7 meV per atom.



The following is a GGA-PBE calculation of Hf3Ga3Pd after structural relaxation, from the Alexandria database.

abc: 5.8294 5.8294 7.9038
angles: 93.04 93.04 103.59
Last column: nearest neighbours and their distance in Å.
Atoms (fractional coordinates):
1 Hf 0.1865 0.8135 0.5000  6 Ga 2.65-2.78
2 Hf 0.2434 0.7566 0.0000  4 Pd 2.79-3.07, 6 Ga 2.86-2.92
3 Hf 0.3814 0.3814 0.6643  3 Ga 2.80-2.94, 1 Pd 2.87
4 Hf 0.6186 0.6186 0.3357  3 Ga 2.80-2.94, 1 Pd 2.87
5 Hf 0.7566 0.2434 0.0000  4 Pd 2.79-3.07, 6 Ga 2.86-2.92
6 Hf 0.8135 0.1865 0.5000  6 Ga 2.65-2.78
7 Pd 0.7069 0.7069 0.9880  3 Ga 2.57-2.61, 3 Hf 2.79-2.87
8 Pd 0.2931 0.2931 0.0120  3 Ga 2.57-2.61, 3 Hf 2.79-2.87
9 Ga 0.8963 0.5539 0.7257  1 Pd 2.61, 4 Hf 2.65-2.92, 1 Ga 2.67
10 Ga 0.0244 0.0244 0.7769  1 Pd 2.57, 2 Ga 2.67, 5 Hf 2.77-2.86
11 Ga 0.1037 0.4461 0.2743  1 Pd 2.61, 4 Hf 2.65-2.92, 1 Ga 2.67
12 Ga 0.5539 0.8963 0.7257  1 Pd 2.61, 4 Hf 2.65-2.92, 1 Ga 2.67
13 Ga 0.4461 0.1037 0.2743  1 Pd 2.61, 4 Hf 2.65-2.92, 1 Ga 2.67
14 Ga 0.9756 0.9756 0.2231  1 Pd 2.57, 2 Ga 2.67, 5 Hf 2.77-2.86

## Properties
The density of states at the Fermi level comes out at 9.7 states/eV/cell. The total energy comes out at -47.07 eV per formula unit. The volume is 18.6 Å³/atom. The value obtained for the total magnetization is 0.00 μB/cell. Its formation energy from the elements is -419.2 meV per atom.